Record 1
VASP calculation (PBE) on crystalline LaSm2DyTh at its relaxed geometry.

Output
Formation enthalpy at 0 K = 1.5 eV/f.u.
VASP energy = -0.3655 Ry/atom

abc: 8.6657 6.4714 6.4265
angles: 90.00 99.26 90.00
Closest atoms and distances in Å follow each position.
Fractional positions:
La 0.0000 0.0000 0.0000  2 La 3.21, 2 Th 3.34, 2 Sm 3.49
La 0.0000 0.0000 0.5000  2 La 3.21, 2 Th 3.34, 2 Sm 3.49
Sm 0.3157 0.3164 0.1976  1 Sm 3.16, 1 Th 3.18, 1 La 3.49, 1 Dy 3.52
Sm 0.3157 0.6836 0.6976  1 Sm 3.16, 1 Th 3.18, 1 La 3.49, 1 Dy 3.52
Sm 0.6843 0.3164 0.3024  1 Sm 3.16, 1 Th 3.18, 1 La 3.49, 1 Dy 3.52
Sm 0.6843 0.6836 0.8024  1 Sm 3.16, 1 Th 3.18, 1 La 3.49, 1 Dy 3.52
Dy 0.5000 0.1697 0.7500  8 Sm 3.52-3.77, 2 Dy 3.89
Dy 0.5000 0.8303 0.2500  8 Sm 3.52-3.77, 2 Dy 3.89
Th 0.0000 0.4532 0.7500  2 Sm 3.18, 2 Th 3.27, 2 La 3.34
Th 0.0000 0.5468 0.2500  2 Sm 3.18, 2 Th 3.27, 2 La 3.34



Record 2
VASP calculation (PBE) on crystalline LaSmDy2Th at its relaxed geometry.

Output
Formation enthalpy at 0 K = 1.6 eV/f.u.
VASP energy = -0.3622 Ry/atom

abc: 8.4565 6.3535 6.7352
angles: 90.00 99.68 90.00
Closest atoms and distances in Å follow each position.
Fractional positions:
La 0.0000 0.0000 0.0000  2 La 3.37, 2 Th 3.38, 2 Dy 3.65
La 0.0000 0.0000 0.5000  2 La 3.37, 2 Th 3.38, 2 Dy 3.65
Sm 0.5000 0.1273 0.2500  6 Dy 3.46-3.60, 2 Sm 3.74
Sm 0.5000 0.8727 0.7500  6 Dy 3.46-3.60, 2 Sm 3.74
Dy 0.3261 0.3798 0.6143  1 Dy 3.19, 2 Th 3.21-3.41, 2 Sm 3.46-3.51
Dy 0.3261 0.6202 0.1143  1 Dy 3.19, 2 Th 3.21-3.41, 2 Sm 3.46-3.51
Dy 0.6739 0.3798 0.8857  1 Dy 3.19, 2 Th 3.21-3.41, 2 Sm 3.46-3.51
Dy 0.6739 0.6202 0.3857  1 Dy 3.19, 2 Th 3.21-3.41, 2 Sm 3.46-3.51
Th 0.0000 0.4606 0.2500  4 Dy 3.21-3.41, 2 La 3.38, 2 Th 3.40
Th 0.0000 0.5394 0.7500  4 Dy 3.21-3.41, 2 La 3.38, 2 Th 3.40



Record 3
VASP calculation (PBE) on crystalline La3Sm6Dy2Th at its relaxed geometry.

Output
Formation enthalpy at 0 K = 0.3 eV/f.u.
VASP energy = -0.3638 Ry/atom

abc: 6.2909 6.2909 12.1031
angles: 94.96 94.96 119.97
Closest atoms and distances in Å follow each position.
Fractional positions:
La 0.0000 0.0000 0.0000  6 La 3.63-3.64, 6 Sm 3.70-3.71
La 0.3329 0.6671 0.0000  6 La 3.63-3.64, 6 Sm 3.70-3.72
La 0.6671 0.3329 0.0000  6 La 3.63-3.64, 6 Sm 3.70-3.72
Sm 0.0887 0.4188 0.2564  1 Th 3.57, 2 Dy 3.59, 6 Sm 3.60-3.65, 3 La 3.70-3.72
Sm 0.2511 0.2511 0.7442  1 Th 3.58, 2 Dy 3.59, 6 Sm 3.60-3.65, 3 La 3.70-3.71
Sm 0.4188 0.0887 0.2564  1 Th 3.57, 2 Dy 3.59, 6 Sm 3.60-3.65, 3 La 3.70-3.72
Sm 0.5812 0.9113 0.7436  1 Th 3.57, 2 Dy 3.59, 6 Sm 3.60-3.65, 3 La 3.70-3.72
Sm 0.7489 0.7489 0.2558  1 Th 3.58, 2 Dy 3.59, 6 Sm 3.60-3.65, 3 La 3.70-3.71
Sm 0.9113 0.5812 0.7436  1 Th 3.57, 2 Dy 3.59, 6 Sm 3.60-3.65, 3 La 3.70-3.72
Dy 0.1666 0.8334 0.5000  6 Sm 3.59, 3 Dy 3.63, 3 Th 3.63
Dy 0.8334 0.1666 0.5000  6 Sm 3.59, 3 Dy 3.63, 3 Th 3.63
Th 0.5000 0.5000 0.5000  6 Sm 3.57-3.58, 6 Dy 3.63



Record 4
VASP calculation (PBE) on crystalline LaSm3DyTh at its relaxed geometry.

Output
Formation enthalpy at 0 K = 0.2 eV/f.u.
VASP energy = -0.3785 Ry/atom

abc: 8.1234 5.1228 10.2842
angles: 90.00 108.74 90.00
Closest atoms and distances in Å follow each position.
Fractional positions:
La 0.1712 0.2500 0.2922  3 Dy 3.60-3.63, 8 Sm 3.64-3.72, 1 Th 3.64
La 0.8288 0.7500 0.7078  3 Dy 3.60-3.63, 8 Sm 3.64-3.72, 1 Th 3.64
Sm 0.1724 0.7500 0.5455  3 Dy 3.59-3.66, 1 Th 3.59, 5 Sm 3.61-3.74, 3 La 3.65-3.68
Sm 0.1798 0.2500 0.7953  3 Th 3.53-3.55, 1 Dy 3.54, 6 Sm 3.61-3.79, 2 La 3.72
Sm 0.1796 0.7500 0.0434  3 Th 3.53-3.56, 1 Dy 3.54, 5 Sm 3.62-3.79, 3 La 3.64-3.70
Sm 0.8204 0.2500 0.9566  3 Th 3.53-3.56, 1 Dy 3.54, 5 Sm 3.62-3.79, 3 La 3.64-3.70
Sm 0.8202 0.7500 0.2047  3 Th 3.53-3.55, 1 Dy 3.54, 6 Sm 3.61-3.79, 2 La 3.72
Sm 0.8276 0.2500 0.4545  3 Dy 3.59-3.66, 1 Th 3.59, 5 Sm 3.61-3.74, 3 La 3.65-3.68
Dy 0.4993 0.2500 0.6290  5 Sm 3.54-3.66, 3 La 3.60-3.63, 2 Th 3.62, 2 Dy 3.69
Dy 0.5007 0.7500 0.3710  5 Sm 3.54-3.66, 3 La 3.60-3.63, 2 Th 3.62, 2 Dy 3.69
Th 0.4991 0.7500 0.8782  7 Sm 3.53-3.59, 2 Th 3.58, 2 Dy 3.62, 1 La 3.64
Th 0.5009 0.2500 0.1218  7 Sm 3.53-3.59, 2 Th 3.58, 2 Dy 3.62, 1 La 3.64



Record 5
VASP calculation (PBE) on crystalline LaSmDyTl at its relaxed geometry.

Output
Formation enthalpy at 0 K = -0.3 eV/f.u.
VASP energy = -0.3110 Ry/atom
Energy above the most stable polymorph in this dataset = 0 meV per atom

abc: 7.9312 7.9312 7.9312
angles: 90.00 90.00 90.00
Closest atoms and distances in Å follow each position.
Fractional positions:
La 0.0000 0.0000 0.0000  4 Dy 3.43, 4 Tl 3.43
La 0.0000 0.5000 0.5000  4 Dy 3.43, 4 Tl 3.43
La 0.5000 0.0000 0.5000  4 Dy 3.43, 4 Tl 3.43
La 0.5000 0.5000 0.0000  4 Dy 3.43, 4 Tl 3.43
Sm 0.0000 0.0000 0.5000  4 Tl 3.43, 4 Dy 3.43
Sm 0.0000 0.5000 0.0000  4 Tl 3.43, 4 Dy 3.43
Sm 0.5000 0.0000 0.0000  4 Tl 3.43, 4 Dy 3.43
Sm 0.5000 0.5000 0.5000  4 Tl 3.43, 4 Dy 3.43
Dy 0.2500 0.2500 0.2500  4 Sm 3.43, 4 La 3.43
Dy 0.2500 0.7500 0.7500  4 Sm 3.43, 4 La 3.43
Dy 0.7500 0.2500 0.7500  4 Sm 3.43, 4 La 3.43
Dy 0.7500 0.7500 0.2500  4 Sm 3.43, 4 La 3.43
Tl 0.2500 0.2500 0.7500  4 La 3.43, 4 Sm 3.43
Tl 0.2500 0.7500 0.2500  4 La 3.43, 4 Sm 3.43
Tl 0.7500 0.2500 0.2500  4 La 3.43, 4 Sm 3.43
Tl 0.7500 0.7500 0.7500  4 La 3.43, 4 Sm 3.43



Record 6
VASP calculation (PBE) on crystalline LaSm2DyTl2 at its relaxed geometry.

Output
Formation enthalpy at 0 K = -1.6 eV/f.u.
VASP energy = -0.3102 Ry/atom

abc: 5.2403 10.2458 6.9082
angles: 90.00 90.00 90.00
Closest atoms and distances in Å follow each position.
Fractional positions:
La 0.0000 0.0438 0.0000  5 Tl 3.33-3.58, 2 La 3.57, 2 Dy 3.58
La 0.0000 0.9562 0.5000  5 Tl 3.33-3.58, 2 La 3.57, 2 Dy 3.58
Sm 0.0000 0.3193 0.3750  4 Tl 3.24-3.32, 2 Sm 3.54
Sm 0.0000 0.6807 0.8750  4 Tl 3.24-3.32, 2 Sm 3.54
Sm 0.5000 0.4542 0.0950  5 Tl 3.30-3.64, 4 Sm 3.54-3.58
Sm 0.5000 0.5458 0.5950  5 Tl 3.30-3.64, 4 Sm 3.54-3.58
Dy 0.5000 0.1923 0.7234  4 Tl 3.21-3.36, 2 La 3.58
Dy 0.5000 0.8077 0.2234  4 Tl 3.21-3.36, 2 La 3.58
Tl 0.0000 0.3624 0.8397  4 Sm 3.24-3.30, 2 Dy 3.25, 1 La 3.45
Tl 0.0000 0.6376 0.3397  4 Sm 3.24-3.30, 2 Dy 3.25, 1 La 3.45
Tl 0.5000 0.1349 0.2662  2 Dy 3.21-3.36, 3 Sm 3.32-3.48, 4 La 3.33-3.58
Tl 0.5000 0.8651 0.7662  2 Dy 3.21-3.36, 3 Sm 3.32-3.48, 4 La 3.33-3.58



Question: What is the VASP energy in the fifth record?
Answer: -0.3110 Ry/atom



Question: Which of these has the highest formation enthalpy at 0 K?
Answer: LaSmDy2Th



Question: Among the records above, which one has the lowest VASP energy?
Answer: LaSm3DyTh